A geometry-optimized KVOF3 structure, computed with PBE with a Hubbard U.

Cell lengths 7.3597, 7.6876, 13.4121 Å; angles 90.00, 90.00, 90.00 degrees
Space group Pnma (No. 62)
Unique sites:
K1 0.0924 0.2500 0.1085 x4
K2 0.1681 0.7500 0.1425 x4
V1 0.1349 0.0030 0.3970 x8
O1 0.1190 0.0352 0.2763 x8
F1 0.0711 0.7500 0.3924 x4
F2 0.1164 0.0520 0.9182 x8
F3 0.1231 0.5356 0.5604 x8
F4 0.1985 0.2500 0.4371 x4

Output
- magnetic moment (μB/atom) = 0.167
- total DFT energy (no corrections) (eV/f.u.) = -35.0